No. 1
! SrAgAu, relaxed, DFT PBEsol; values from VASP
&SYSTEM
  ibrav = 0, nat = 3, ntyp = 3
/
ATOMIC_SPECIES
Sr 87.62 Sr.upf
Ag 107.87 Ag.upf
Au 196.97 Au.upf
ATOMIC_POSITIONS angstrom
Sr 0.0000 0.0000 0.0000
Ag 2.3449 1.3538 1.9617
Au 0.0000 2.7076 1.9617
CELL_PARAMETERS angstrom
4.6898 0.0000 0.0000
-2.3449 4.0615 0.0000
0.0000 0.0000 3.9234
! - Polymorph energy (0 for the lowest one): 0 meV/atom
! - Theoretical density: 8.720 g cm⁻³
! - SG: P-6m2, No. 187
! - Energy of formation: -0.4793 eV per atom

---

No. 2
! Sr2InAs2, relaxed, DFT PBEsol; values from VASP
&SYSTEM
  ibrav = 0, nat = 10, ntyp = 3
/
ATOMIC_SPECIES
Sr 87.62 Sr.upf
In 114.82 In.upf
As 74.92 As.upf
ATOMIC_POSITIONS angstrom
Sr 1.4007 2.5097 0.0000
Sr 2.5097 6.4201 0.0000
Sr 5.3112 1.4007 0.0000
Sr 6.4201 5.3112 0.0000
In 0.0000 0.0000 2.2012
In 3.9104 3.9104 2.2012
As 0.8987 4.8091 2.2012
As 3.0117 0.8987 2.2012
As 4.8091 6.9221 2.2012
As 6.9221 3.0117 2.2012
CELL_PARAMETERS angstrom
7.8209 0.0000 0.0000
0.0000 7.8209 0.0000
0.0000 0.0000 4.4024
! - Polymorph energy (0 for the lowest one): 0 meV/atom
! - Theoretical density: 5.425 g cm⁻³
! - SG: P4/mbm, No. 127
! - Energy of formation: -0.8415 eV per atom

---

No. 3
! InMoOs, relaxed, DFT PBEsol; values from VASP
&SYSTEM
  ibrav = 0, nat = 3, ntyp = 3
/
ATOMIC_SPECIES
In 114.82 In.upf
Mo 95.94 Mo.upf
Os 190.23 Os.upf
ATOMIC_POSITIONS angstrom
In 0.0000 0.0000 0.0000
Mo 0.0000 2.5443 1.2973
Os 2.2034 1.2721 1.7897
CELL_PARAMETERS angstrom
4.4069 0.0000 0.0000
-2.2034 3.8165 0.0000
0.0000 0.0000 2.9347
! - Polymorph energy (0 for the lowest one): 0 meV/atom
! - Theoretical density: 13.490 g cm⁻³
! - SG: P3m1, No. 156
! - Energy of formation: 0.4455 eV per atom

---

No. 4
! CaPd2Se, relaxed, DFT PBEsol; values from VASP
&SYSTEM
  ibrav = 0, nat = 8, ntyp = 3
/
ATOMIC_SPECIES
Ca 40.08 Ca.upf
Pd 106.42 Pd.upf
Se 78.96 Se.upf
ATOMIC_POSITIONS angstrom
Ca 0.0000 0.0000 0.0000
Ca 0.0000 2.0439 4.5784
Pd 1.0219 -0.8849 6.8676
Pd 1.1590 1.0219 2.2892
Pd 1.0219 2.9288 -2.2892
Pd 0.8849 1.0219 11.4460
Se 2.0439 0.0000 4.5784
Se 0.0000 0.0000 9.1568
CELL_PARAMETERS angstrom
-2.0439 2.0439 9.1568
2.0439 -2.0439 9.1568
2.0439 2.0439 -9.1568
! - Polymorph energy (0 for the lowest one): 0 meV/atom
! - Theoretical density: 7.203 g cm⁻³
! - SG: I-42d, No. 122
! - Formation energy without anion corrections: -576 meV per atom

---

No. 5
! CoHgTe, relaxed, DFT PBEsol; values from VASP
&SYSTEM
  ibrav = 0, nat = 3, ntyp = 3
/
ATOMIC_SPECIES
Co 58.93 Co.upf
Hg 200.59 Hg.upf
Te 127.60 Te.upf
ATOMIC_POSITIONS angstrom
Co 0.0000 0.0000 0.0000
Hg 0.0000 1.9848 4.1243
Te 1.7189 0.9924 1.4009
CELL_PARAMETERS angstrom
3.4378 0.0000 0.0000
-1.7189 2.9772 0.0000
0.0000 0.0000 5.9268
! - Polymorph energy (0 for the lowest one): 0 meV/atom
! - Theoretical density: 10.597 g cm⁻³
! - SG: P3m1, No. 156
! - Formation energy without anion corrections: 110 meV per atom

---

No. 6
! Zr3Zn, relaxed, DFT PBEsol; values from VASP
&SYSTEM
  ibrav = 0, nat = 8, ntyp = 2
/
ATOMIC_SPECIES
Zr 91.22 Zr.upf
Zn 65.41 Zn.upf
ATOMIC_POSITIONS angstrom
Zr 1.1182 0.0000 1.0571
Zr 1.1182 0.0000 6.1460
Zr 1.1182 1.8973 3.6207
Zr 3.3546 0.0000 3.2370
Zr 3.3546 0.0000 8.3259
Zr 3.3546 1.8973 5.7623
Zn 1.1182 1.8973 8.2420
Zn 3.3546 1.8973 1.1410
CELL_PARAMETERS angstrom
4.4728 0.0000 0.0000
0.0000 3.7946 0.0000
0.0000 0.0000 9.3830
! - Theoretical density: 7.071 g cm⁻³
! - SG: Pmma, No. 51
! - Energy of formation: -0.1107 eV per atom